The following is a DFT calculation (PBE) of a relaxed structure of Co3TeS.

Calculated values
energy relative to the elements, uncorrected = 0.29 eV per atom
E = -27.1 eV/cell
relative energy among the computed polymorphs = 0.00 eV per formula unit

a b c (Å): 4.210 4.210 4.210
angles (deg): 90.00 90.00 90.00
Space group Pm-3m (No. 221)
Asymmetric unit:
Co 0.000 0.000 0.500
Te 0.500 0.500 0.500
S 0.000 0.000 0.000